[1]
An optimized crystal structure of Mg2SiOsPb, computed with PBE.

Summary:
The value obtained for the calculated total energy is -3.184 eV/atom. Its space-group type is No. 123. The raw formation energy is 1.526 eV per atom.

Unit cell a=5.198 b=5.049 c=5.198 alpha=90.00 beta=90.00 gamma=90.00
Fractional positions:
Pb  0.000  0.000  0.000
Si  0.500  0.500  0.500
Os  0.000  0.500  0.000
Mg  0.000  0.000  0.500
Mg  0.500  0.000  0.000

=====

[2]
An optimized crystal structure of MgSiOsPb2, computed with PBE.

Summary:
The value obtained for the calculated total energy is -4.354 eV/atom. Its space-group type is No. 123. The raw formation energy is 0.779 eV per atom.

Unit cell a=5.417 b=4.510 c=5.417 alpha=90.00 beta=90.00 gamma=90.00
Fractional positions:
Pb  0.000  0.000  0.500
Pb  0.500  0.000  0.000
Si  0.000  0.000  0.000
Os  0.000  0.500  0.000
Mg  0.500  0.500  0.500

=====

[3]
An optimized crystal structure of MgTeOsPb2, computed with PBE.

Summary:
The value obtained for the calculated total energy is -3.255 eV/atom. Its space-group type is No. 123. The raw formation energy is 1.421 eV per atom.

Unit cell a=5.424 b=5.424 c=5.172 alpha=90.00 beta=90.00 gamma=90.00
Site moments in Bohr magnetons follow the coordinates.
Fractional positions:
Pb  0.000  0.500  0.000  -0.05
Pb  0.500  0.000  0.000  -0.05
Mg  0.000  0.000  0.000  0.01
Te  0.000  0.000  0.500  0.05
Os  0.500  0.500  0.500  2.48

=====

[4]
An optimized crystal structure of Th2MgOsPb, computed with PBE.

Summary:
The formation energy is -0.202 eV per atom. The value obtained for the calculated total energy is -6.476 eV/atom. Its space-group type is No. 11.

Unit cell a=4.269 b=8.315 c=8.249 alpha=101.60 beta=90.00 gamma=90.00
Fractional positions:
Th  0.750  0.879  0.598
Th  0.750  0.799  0.012
Th  0.250  0.121  0.402
Th  0.250  0.201  0.988
Mg  0.250  0.547  0.663
Mg  0.750  0.453  0.337
Os  0.250  0.863  0.803
Os  0.750  0.137  0.197
Pb  0.250  0.684  0.294
Pb  0.750  0.316  0.706

=====

[5]
An optimized crystal structure of MgOs2Pd, computed with PBE.

Summary:
The formation energy is 0.843 eV per atom. The value obtained for the calculated total energy is -6.468 eV/atom. Its space-group type is No. 122.

Unit cell a=7.819 b=7.819 c=6.008 alpha=49.40 beta=49.40 gamma=90.00
Fractional positions:
Mg  0.500  0.500  0.000
Mg  0.250  0.750  0.500
Os  0.682  0.125  0.250
Os  0.068  0.625  0.250
Os  0.375  0.318  0.750
Os  0.875  0.932  0.750
Pd  0.000  0.000  0.000
Pd  0.750  0.250  0.500

=====

[6]
An optimized crystal structure of Mg2OsPd, computed with PBE.

Summary:
The formation energy is 0.440 eV per atom. The value obtained for the calculated total energy is -4.463 eV/atom. Its space-group type is No. 122.

Unit cell a=7.061 b=7.061 c=5.718 alpha=51.87 beta=51.87 gamma=90.00
Site moments in Bohr magnetons follow the coordinates.
Fractional positions:
Mg  0.613  0.125  0.250  -0.01
Mg  0.137  0.625  0.250  -0.01
Mg  0.375  0.387  0.750  -0.01
Mg  0.875  0.863  0.750  -0.01
Os  0.000  0.000  0.000  1.09
Os  0.750  0.250  0.500  1.09
Pd  0.500  0.500  0.000  0.12
Pd  0.250  0.750  0.500  0.12

=====

[7]
An optimized crystal structure of MgOsPd3, computed with PBE.

Summary:
The formation energy is 0.969 eV per atom. The value obtained for the calculated total energy is -4.711 eV/atom. Its space-group type is No. 221. The calculation puts the offset from the most stable computed form at 0.0 kJ/mol of atoms.

Unit cell a=4.828 b=4.828 c=4.828 alpha=90.00 beta=90.00 gamma=90.00
Fractional positions:
Mg  0.500  0.500  0.500
Os  0.000  0.000  0.000
Pd  0.000  0.500  0.000
Pd  0.000  0.000  0.500
Pd  0.500  0.000  0.000

=====

[8]
An optimized crystal structure of ThMgOsPd, computed with PBE.

Summary:
The formation energy is -0.330 eV per atom. The value obtained for the calculated total energy is -6.689 eV/atom. Its space-group type is No. 216.

Unit cell a=4.824 b=4.824 c=4.824 alpha=60.00 beta=60.00 gamma=60.00
Fractional positions:
Mg  0.750  0.750  0.750
Os  0.500  0.500  0.500
Pd  0.000  0.000  0.000
Th  0.250  0.250  0.250

=====

[9]
An optimized crystal structure of Pm2MgOs, computed with PBE.

Summary:
The formation energy is -0.071 eV per atom. The value obtained for the calculated total energy is -5.653 eV/atom. Its space-group type is No. 123. The calculation puts the offset from the most stable computed form at 0.0 kJ/mol of atoms.

Unit cell a=3.454 b=3.454 c=8.835 alpha=90.00 beta=90.00 gamma=90.00
Fractional positions:
Mg  0.500  0.500  0.500
Os  0.500  0.500  0.000
Pm  0.000  0.000  0.805
Pm  0.000  0.000  0.195

=====

[10]
An optimized crystal structure of Pm2MgOs, computed with PBE.

Summary:
The formation energy is 0.300 eV per atom. The value obtained for the calculated total energy is -5.282 eV/atom. Its space-group type is No. 166. The calculation puts the offset from the most stable computed form at 35.8 kJ/mol of atoms.

Unit cell a=4.017 b=4.017 c=10.503 alpha=78.98 beta=78.98 gamma=60.00
Fractional positions:
Mg  0.000  0.000  0.000
Os  0.500  0.500  0.500
Pm  0.116  0.116  0.652
Pm  0.884  0.884  0.348

=====

[11]
An optimized crystal structure of Pm3MgOs, computed with PBE.

Summary:
The formation energy is -0.051 eV per atom. The value obtained for the calculated total energy is -5.466 eV/atom. Its space-group type is No. 11. The calculation puts the offset from the most stable computed form at 0.0 kJ/mol of atoms.

Unit cell a=6.099 b=6.928 c=7.353 alpha=90.00 beta=109.37 gamma=90.00
Fractional positions:
Pm  0.032  0.495  0.268
Pm  0.968  0.505  0.732
Pm  0.032  0.005  0.268
Pm  0.968  0.995  0.732
Pm  0.447  0.750  0.117
Pm  0.553  0.250  0.883
Mg  0.441  0.750  0.630
Mg  0.559  0.250  0.370
Os  0.805  0.750  0.965
Os  0.195  0.250  0.035

=====

[12]
An optimized crystal structure of Pm2MgOs, computed with PBE.

Summary:
The formation energy is 0.053 eV per atom. The value obtained for the calculated total energy is -5.528 eV/atom. Its space-group type is No. 123. The calculation puts the offset from the most stable computed form at 12.0 kJ/mol of atoms.

Unit cell a=3.750 b=5.038 c=5.038 alpha=90.00 beta=90.00 gamma=90.00
Fractional positions:
Mg  0.500  0.000  0.000
Os  0.500  0.500  0.500
Pm  0.000  0.000  0.500
Pm  0.000  0.500  0.000

=====

[13]
An optimized crystal structure of PmMgOs, computed with PBE.

Summary:
The formation energy is 0.126 eV per atom. The value obtained for the calculated total energy is -5.732 eV/atom. Its space-group type is No. 107.

Unit cell a=3.429 b=3.429 c=6.163 alpha=106.15 beta=106.15 gamma=90.00
Fractional positions:
Mg  0.246  0.246  0.492
Os  0.626  0.626  0.252
Pm  0.978  0.978  0.955

=====

[14]
An optimized crystal structure of Pm8Mg2Os, computed with PBE.

Summary:
The formation energy is -0.014 eV per atom. The value obtained for the calculated total energy is -4.780 eV/atom. Its space-group type is No. 12.

Unit cell a=5.587 b=7.190 c=9.346 alpha=109.20 beta=107.39 gamma=90.00
Fractional positions:
Pm  0.401  0.595  0.802
Pm  0.647  0.929  0.293
Pm  0.805  0.745  0.610
Pm  0.985  0.216  0.969
Pm  0.195  0.255  0.390
Pm  0.353  0.071  0.707
Pm  0.599  0.405  0.198
Pm  0.015  0.784  0.031
Mg  0.816  0.307  0.631
Mg  0.184  0.693  0.369
Os  0.500  0.000  0.000

=====

[15]
An optimized crystal structure of Pm3MgOs, computed with PBE.

Summary:
The formation energy is 0.060 eV per atom. The value obtained for the calculated total energy is -5.355 eV/atom. Its space-group type is No. 221. The calculation puts the offset from the most stable computed form at 10.7 kJ/mol of atoms.

Unit cell a=5.534 b=5.534 c=5.534 alpha=90.00 beta=90.00 gamma=90.00
Fractional positions:
Mg  0.500  0.500  0.500
Os  0.000  0.000  0.000
Pm  0.000  0.500  0.000
Pm  0.000  0.000  0.500
Pm  0.500  0.000  0.000

=====

[16]
An optimized crystal structure of Pm3MgOs, computed with PBE.

Summary:
The formation energy is -0.008 eV per atom. The value obtained for the calculated total energy is -5.424 eV/atom. Its space-group type is No. 221. The calculation puts the offset from the most stable computed form at 4.1 kJ/mol of atoms.

Unit cell a=7.328 b=7.328 c=7.328 alpha=90.00 beta=90.00 gamma=90.00
Fractional positions:
Pm  0.500  0.500  0.500
Pm  0.229  0.229  0.229
Pm  0.771  0.771  0.229
Pm  0.771  0.229  0.771
Pm  0.229  0.771  0.771
Pm  0.229  0.229  0.771
Pm  0.771  0.771  0.771
Pm  0.229  0.771  0.229
Pm  0.771  0.229  0.229
Mg  0.000  0.500  0.500
Mg  0.500  0.000  0.500
Mg  0.500  0.500  0.000
Os  0.500  0.000  0.000
Os  0.000  0.500  0.000
Os  0.000  0.000  0.500

=====

[17]
An optimized crystal structure of Pm2MgOs, computed with PBE.

Summary:
The formation energy is -0.020 eV per atom. The value obtained for the calculated total energy is -5.601 eV/atom. Its space-group type is No. 225. The calculation puts the offset from the most stable computed form at 4.9 kJ/mol of atoms.

Unit cell a=5.124 b=5.124 c=5.124 alpha=60.00 beta=60.00 gamma=60.00
Fractional positions:
Mg  0.500  0.500  0.500
Os  0.000  0.000  0.000
Pm  0.250  0.250  0.250
Pm  0.750  0.750  0.750

=====

[18]
An optimized crystal structure of PmMgOs4, computed with PBE.

Summary:
The formation energy is 0.053 eV per atom. The value obtained for the calculated total energy is -8.491 eV/atom. Its space-group type is No. 216.

Unit cell a=5.322 b=5.322 c=5.322 alpha=60.00 beta=60.00 gamma=60.00
Fractional positions:
Mg  0.000  0.000  0.000
Os  0.626  0.626  0.123
Os  0.626  0.123  0.626
Os  0.626  0.626  0.626
Os  0.123  0.626  0.626
Pm  0.250  0.250  0.250

=====

[19]
An optimized crystal structure of PmPrMgOs, computed with PBE.

Summary:
The formation energy is 0.018 eV per atom. The value obtained for the calculated total energy is -5.570 eV/atom. Its space-group type is No. 216.

Unit cell a=5.162 b=5.162 c=5.162 alpha=60.00 beta=60.00 gamma=60.00
Fractional positions:
Pr  0.250  0.250  0.250
Mg  0.000  0.000  0.000
Os  0.500  0.500  0.500
Pm  0.750  0.750  0.750

=====

[20]
An optimized crystal structure of PmPuMgOs, computed with PBE.

Summary:
The formation energy is 0.095 eV per atom. The value obtained for the calculated total energy is -7.881 eV/atom. Its space-group type is No. 216.

Unit cell a=5.042 b=5.042 c=5.042 alpha=60.00 beta=60.00 gamma=60.00
Site moments in Bohr magnetons follow the coordinates.
Fractional positions:
Mg  0.000  0.000  0.000  0.02
Pm  0.750  0.750  0.750  0.08
Os  0.500  0.500  0.500  -0.25
Pu  0.250  0.250  0.250  5.27

=====

[21]
An optimized crystal structure of PmMgSbOs, computed with PBE.

Summary:
The value obtained for the calculated total energy is -5.490 eV/atom. Its space-group type is No. 216. The raw formation energy is -0.065 eV per atom.

Unit cell a=4.850 b=4.850 c=4.850 alpha=60.00 beta=60.00 gamma=60.00
Fractional positions:
Sb  0.000  0.000  0.000
Mg  0.250  0.250  0.250
Os  0.750  0.750  0.750
Pm  0.500  0.500  0.500

=====

[22]
An optimized crystal structure of PmMgScOs, computed with PBE.

Summary:
The formation energy is -0.096 eV per atom. The value obtained for the calculated total energy is -6.073 eV/atom. Its space-group type is No. 216.

Unit cell a=4.926 b=4.926 c=4.926 alpha=60.00 beta=60.00 gamma=60.00
Fractional positions:
Sc  0.250  0.250  0.250
Mg  0.500  0.500  0.500
Os  0.000  0.000  0.000
Pm  0.750  0.750  0.750

=====

[23]
An optimized crystal structure of TbPmMgOs, computed with PBE.

Summary:
The formation energy is -0.071 eV per atom. The value obtained for the calculated total energy is -5.622 eV/atom. Its space-group type is No. 216.

Unit cell a=5.069 b=5.069 c=5.069 alpha=60.00 beta=60.00 gamma=60.00
Fractional positions:
Tb  0.250  0.250  0.250
Mg  0.000  0.000  0.000
Os  0.500  0.500  0.500
Pm  0.750  0.750  0.750

=====

[24]
An optimized crystal structure of PmThMgOs, computed with PBE.

Summary:
The formation energy is -0.010 eV per atom. The value obtained for the calculated total energy is -6.258 eV/atom. Its space-group type is No. 216.

Unit cell a=5.159 b=5.159 c=5.159 alpha=60.00 beta=60.00 gamma=60.00
Fractional positions:
Mg  0.500  0.500  0.500
Os  0.000  0.000  0.000
Th  0.250  0.250  0.250
Pm  0.750  0.750  0.750

=====

[25]
An optimized crystal structure of PmMgZrOs, computed with PBE.

Summary:
The formation energy is -0.024 eV per atom. The value obtained for the calculated total energy is -6.555 eV/atom. Its space-group type is No. 216.

Unit cell a=4.944 b=4.944 c=4.944 alpha=60.00 beta=60.00 gamma=60.00
Fractional positions:
Mg  0.000  0.000  0.000
Os  0.500  0.500  0.500
Zr  0.250  0.250  0.250
Pm  0.750  0.750  0.750

=====

[26]
An optimized crystal structure of Pr4MgOs, computed with PBE.

Summary:
The formation energy is -0.046 eV per atom. The value obtained for the calculated total energy is -5.370 eV/atom. Its space-group type is No. 15. The calculation puts the offset from the most stable computed form at 5.6 kJ/mol of atoms.

Unit cell a=6.335 b=9.509 c=8.177 alpha=116.04 beta=100.00 gamma=111.57
Fractional positions:
Pr  0.077  0.193  0.833
Pr  0.771  0.723  0.666
Pr  0.256  0.640  0.833
Pr  0.394  0.943  0.666
Pr  0.606  0.057  0.334
Pr  0.744  0.360  0.167
Pr  0.229  0.277  0.334
Pr  0.923  0.807  0.167
Mg  0.368  0.618  0.236
Mg  0.632  0.382  0.764
Os  0.249  0.999  0.998
Os  0.751  0.001  0.002